[1]
First-principles (PBE) data for a relaxed structure of DyCoOs, as listed in the Open Quantum Materials Database.

## Properties
Calculated density ... 11.3 g/cm³
Energy of formation from the pure elements ... 0.552 eV/atom

a = 6.231 Å, b = 6.231 Å, c = 6.231 Å
α = 90.00°, β = 90.00°, γ = 90.00°
Space group F-43m (No. 216)
Asymmetric unit:
Dy1 0.000 0.000 0.000 [4 per cell]
Co1 0.000 0.000 0.500 [4 per cell]
Os1 0.250 0.250 0.750 [4 per cell]

***

[2]
First-principles (PBE) data for a relaxed structure of DyCoSi2Os, as listed in the Open Quantum Materials Database.

## Properties
Calculated density ... 9.8 g/cm³
E_tot ... -7.538 eV per atom

a = 4.021 Å, b = 4.021 Å, c = 9.799 Å
α = 90.00°, β = 90.00°, γ = 90.00°
Space group I-4m2 (No. 119)
Asymmetric unit:
Dy1 0.000 0.000 0.000 [2 per cell]
Co1 0.000 0.500 0.750 [2 per cell]
Si1 0.000 0.000 0.373 [4 per cell]
Os1 0.000 0.500 0.250 [2 per cell]

***

[3]
First-principles (PBE) data for a relaxed structure of DyCo2SiP, as listed in the Open Quantum Materials Database.

## Properties
Calculated density ... 8.0 g/cm³
E_tot ... -6.879 eV per atom

a = 3.846 Å, b = 3.846 Å, c = 9.501 Å
α = 90.00°, β = 90.00°, γ = 90.00°
Space group I4mm (No. 107)
Asymmetric unit:
Dy1 0.000 0.000 0.000 [2 per cell]
Co1 0.000 0.500 0.246 [4 per cell]
Si1 0.000 0.000 0.373 [2 per cell]
P1 0.000 0.000 0.625 [2 per cell]

***

Please write out number 2 again, unchanged.
First-principles (PBE) data for a relaxed structure of DyCoSi2Os, as listed in the Open Quantum Materials Database.

## Properties
Calculated density ... 9.8 g/cm³
E_tot ... -7.538 eV per atom

a = 4.021 Å, b = 4.021 Å, c = 9.799 Å
α = 90.00°, β = 90.00°, γ = 90.00°
Space group I-4m2 (No. 119)
Asymmetric unit:
Dy1 0.000 0.000 0.000 [2 per cell]
Co1 0.000 0.500 0.750 [2 per cell]
Si1 0.000 0.000 0.373 [4 per cell]
Os1 0.000 0.500 0.250 [2 per cell]

***

What is the calculated density in the second record? 9.8 g/cm³